Hg2PSe | Alexandria | SCAN | PBEsol geometry; uncorrected formation energy = 623 meV/atom; crystal system = cubic
1.0
0.0000 3.4309 3.4309
3.4309 0.0000 3.4309
3.4309 3.4309 0.0000
Hg P Se
2 1 1
direct
0.0000 0.0000 0.0000
0.2500 0.2500 0.2500
0.5000 0.5000 0.5000
0.7500 0.7500 0.7500

---

InReBr2 | Alexandria | SCAN | PBEsol geometry; uncorrected formation energy = 555 meV/atom; energy relative to the lowest polymorph listed for this composition = 121.1 kJ/mol of formula units; crystal system = trigonal
1.0
1.5581 0.8996 10.1635
-1.5581 0.8996 10.1635
0.0000 -1.7992 10.1635
In Re Br
1 1 2
direct
0.0000 0.0000 0.0000
0.5000 0.5000 0.5000
0.4226 0.4226 0.4226
0.5774 0.5774 0.5774